First-principles (PBE) data for crystalline Hf2BeHg at its relaxed geometry, as listed in Alexandria.

Output
formation energy = 65 meV per atom
N(E_F) = 1.515 states/eV per cell
magnetization = 0.00 μB/cell

Cell: 3.2561 3.2561 8.5961 Å, 79.08 79.08 60.00°
Positions (direct):
Be 0.5000 0.5000 0.5000
Hf 0.7647 0.7647 0.7058
Hf 0.2353 0.2353 0.2942
Hg 0.0000 0.0000 0.0000

First-principles (PBE) data for crystalline Hf2Be2Hg at its relaxed geometry, as listed in Alexandria.

Output
formation energy = -194 meV per atom
N(E_F) = 2.438 states/eV per cell
magnetization = 0.00 μB/cell

Cell: 3.4046 3.7343 6.6104 Å, 106.41 90.00 90.00°
Positions (direct):
Be 0.0000 0.2047 0.4094
Be 0.0000 0.7953 0.5906
Hf 0.5000 0.6402 0.2804
Hf 0.5000 0.3598 0.7196
Hg 0.0000 0.0000 0.0000

First-principles (PBE) data for crystalline HfBe2HgI at its relaxed geometry, as listed in Alexandria.

Output
N(E_F) = 2.286 states/eV per cell
formation energy from raw total energies = 0.738 eV per atom
magnetization = 0.00 μB/cell

Cell: 4.4382 5.6630 4.4382 Å, 90.00 90.00 90.00°
Positions (direct):
Be 0.5000 0.0000 0.0000
Be 0.0000 0.0000 0.5000
Hg 0.0000 0.0000 0.0000
I 0.5000 0.5000 0.5000
Hf 0.0000 0.5000 0.0000

First-principles (PBE) data for crystalline HfMnBe2Hg at its relaxed geometry, as listed in Alexandria.

Output
formation energy = 2095 meV per atom
N(E_F) = 8.005 states/eV per cell
magnetization = 0.54 μB/cell

Cell: 4.6217 5.2791 4.6217 Å, 90.00 90.00 90.00°
Site moments in Bohr magnetons follow the coordinates.
Positions (direct):
Hf 0.0000 0.0000 0.0000  0.15
Mn 0.5000 0.5000 0.5000  0.16
Hg 0.0000 0.5000 0.0000  0.05
Be 0.0000 0.0000 0.5000  0.01
Be 0.5000 0.0000 0.0000  0.04

First-principles (PBE) data for crystalline NaHf2BeHg at its relaxed geometry, as listed in Alexandria.

Output
formation energy = 1520 meV per atom
N(E_F) = 4.565 states/eV per cell
magnetization = 0.00 μB/cell

Cell: 4.9893 4.2903 4.9893 Å, 90.00 90.00 90.00°
Positions (direct):
Na 0.0000 0.0000 0.0000
Hf 0.0000 0.0000 0.5000
Hf 0.5000 0.0000 0.0000
Be 0.0000 0.5000 0.0000
Hg 0.5000 0.5000 0.5000

First-principles (PBE) data for crystalline HfBe2NbHg at its relaxed geometry, as listed in Alexandria.

Output
formation energy = 1695 meV per atom
N(E_F) = 5.533 states/eV per cell
magnetization = 0.66 μB/cell

Cell: 4.5183 5.1239 4.5183 Å, 90.00 90.00 90.00°
Site moments in Bohr magnetons follow the coordinates.
Positions (direct):
Be 0.0000 0.0000 0.5000  0.04
Be 0.5000 0.0000 0.0000  0.05
Hf 0.0000 0.0000 0.0000  0.30
Hg 0.0000 0.5000 0.0000  0.04
Nb 0.5000 0.5000 0.5000  0.12

First-principles (PBE) data for crystalline HfBeHgP2 at its relaxed geometry, as listed in Alexandria.

Output
formation energy = 369 meV per atom
N(E_F) = 2.672 states/eV per cell
magnetization = 0.00 μB/cell

Cell: 4.2336 4.8795 4.2336 Å, 90.00 90.00 90.00°
Positions (direct):
Be 0.0000 0.0000 0.0000
Hf 0.0000 0.5000 0.0000
P 0.0000 0.0000 0.5000
P 0.5000 0.0000 0.0000
Hg 0.5000 0.5000 0.5000

First-principles (PBE) data for crystalline HfScBeHg2 at its relaxed geometry, as listed in Alexandria.

Output
formation energy = 1290 meV per atom
N(E_F) = 6.945 states/eV per cell
magnetization = 0.00 μB/cell

Cell: 5.4721 5.1656 5.4721 Å, 90.00 90.00 90.00°
Positions (direct):
Hg 0.0000 0.0000 0.5000
Hg 0.5000 0.0000 0.0000
Hf 0.0000 0.0000 0.0000
Be 0.5000 0.5000 0.5000
Sc 0.0000 0.5000 0.0000

First-principles (PBE) data for crystalline Hf2BeHgSe at its relaxed geometry, as listed in Alexandria.

Output
N(E_F) = 2.419 states/eV per cell
formation energy from raw total energies = 0.856 eV per atom
magnetization = 0.00 μB/cell

Cell: 4.9120 4.9120 5.1169 Å, 90.00 90.00 90.00°
Positions (direct):
Hg 0.0000 0.0000 0.5000
Se 0.0000 0.0000 0.0000
Be 0.5000 0.5000 0.5000
Hf 0.0000 0.5000 0.0000
Hf 0.5000 0.0000 0.0000

First-principles (PBE) data for crystalline HfBe2ZnHg at its relaxed geometry, as listed in Alexandria.

Output
formation energy = 885 meV per atom
N(E_F) = 3.472 states/eV per cell
magnetization = 0.00 μB/cell

Cell: 4.3619 4.8226 4.3619 Å, 90.00 90.00 90.00°
Positions (direct):
Zn 0.0000 0.5000 0.0000
Hg 0.0000 0.0000 0.0000
Hf 0.5000 0.5000 0.5000
Be 0.0000 0.0000 0.5000
Be 0.5000 0.0000 0.0000

First-principles (PBE) data for crystalline Ho2HfBe at its relaxed geometry, as listed in Alexandria.

Output
formation energy = 134 meV per atom
N(E_F) = 4.362 states/eV per cell
magnetization = 0.00 μB/cell

Cell: 3.3354 3.3354 8.1731 Å, 90.00 90.00 90.00°
Positions (direct):
Be 0.5000 0.5000 0.0000
Hf 0.5000 0.5000 0.5000
Ho 0.0000 0.0000 0.7864
Ho 0.0000 0.0000 0.2136

First-principles (PBE) data for crystalline HoHfBe17 at its relaxed geometry, as listed in Alexandria.

Output
formation energy = -187 meV per atom
N(E_F) = 3.614 states/eV per cell
magnetization = 0.00 μB/cell

Cell: 5.7248 5.7248 5.7248 Å, 82.96 82.96 82.96°
Positions (direct):
Be 0.4980 0.0032 0.0032
Be 0.7147 0.2830 0.0013
Be 0.2830 0.0013 0.7147
Be 0.9059 0.9059 0.9059
Be 0.7147 0.0013 0.2830
Be 0.0013 0.2830 0.7147
Be 0.0980 0.0980 0.0980
Be 0.6577 0.1594 0.6577
Be 0.0032 0.4980 0.0032
Be 0.3391 0.3391 0.8427
Be 0.8427 0.3391 0.3391
Be 0.0032 0.0032 0.4980
Be 0.3391 0.8427 0.3391
Be 0.0013 0.7147 0.2830
Be 0.1594 0.6577 0.6577
Be 0.6577 0.6577 0.1594
Be 0.2830 0.7147 0.0013
Hf 0.3368 0.3368 0.3368
Ho 0.6610 0.6610 0.6610

> Which value of N(E_F) does entry 8 give?

6.945 states/eV per cell

> Which of these has the highest N(E_F)?

HfMnBe2Hg

> Number 6 is which compound?

HfBe2NbHg

> Which of these has the highest magnetization?

HfBe2NbHg